Entry 1:
Density functional theory data (PBE-GGA) for crystalline K3HI3 at its relaxed geometry.

Summary:
Final energy = -2.5307 eV per atom
Calculated density = 2.74 g/cm³

a = 9.427 Å, b = 14.710 Å, c = 8.729 Å
α = 90.00°, β = 91.59°, γ = 90.00°
Space group C2/m (No. 12)
Asymmetric unit:
K: 0.099 0.000 0.267
K: 0.186 0.326 0.253
H: 0.150 0.500 0.598
I: 0.000 0.172 0.000
I: 0.000 0.182 0.500
I: 0.060 0.500 0.826

=====

Entry 2:
Density functional theory data (PBE-GGA) for crystalline K4H3I4 at its relaxed geometry.

Summary:
Final energy = -2.3265 eV per atom
Calculated density = 2.60 g/cm³

a = 14.189 Å, b = 5.119 Å, c = 11.730 Å
α = 90.00°, β = 90.00°, γ = 90.00°
Space group Amm2 (No. 38)
Asymmetric unit:
K: 0.000 0.000 0.000
K: 0.248 0.000 0.703
K: 0.500 0.000 0.995
H: 0.235 0.000 0.363
H: 0.500 0.000 0.323
I: 0.000 0.000 0.701
I: 0.250 0.000 0.999
I: 0.500 0.000 0.700

=====

Entry 3:
Density functional theory data (PBE-GGA) for crystalline KHI at its relaxed geometry.

Summary:
Final energy = -2.9596 eV per atom
Calculated density = 2.97 g/cm³
E above lowest polymorph = 0.018 eV/atom

a = 4.621 Å, b = 4.677 Å, c = 17.300 Å
α = 90.00°, β = 90.00°, γ = 90.00°
Space group Imm2 (No. 44)
Asymmetric unit:
K: 0.000 0.000 0.000
K: 0.000 0.500 0.256
H: 0.082 0.000 0.167
I: 0.000 0.000 0.587
I: 0.000 0.500 0.841